(1)
An optimized crystal structure of SeS2I. Source: Alexandria, functional PBE-GGA.

Lattice parameters (Å, degrees): 8.6255 8.6255 8.6255 27.23 27.23 27.23
Last column: nearest neighbours and their distance in Å.
Fractional coordinates of all 4 atoms:
S 0.9097 0.9097 0.9097  1 Se 2.25
Se 0.0000 0.0000 0.0000  2 S 2.25
I 0.5000 0.5000 0.5000  6 S 3.02
S 0.0903 0.0903 0.0903  1 Se 2.25

- Space-group type: R-3m, No. 166
- Distance to the lowest polymorph of the same formula: 237.6 meV/atom
- Energy relative to the elements, uncorrected: 59 kJ per mole of atoms


(2)
An optimized crystal structure of Ba2Te2ClO6. Source: Alexandria, functional PBE-GGA.

Lattice parameters (Å, degrees): 4.7108 9.2805 7.3797 103.89 108.09 54.16
Last column: nearest neighbours and their distance in Å.
Fractional coordinates of all 11 atoms:
Ba 0.0046 0.6299 0.2716  6 O 2.70-2.92
O 0.7491 0.4167 0.3383  1 Te 1.89
Cl 0.5000 0.0000 0.5000  2 Te 3.11, 2 Ba 3.23
O 0.3478 0.6994 0.0888  1 Te 1.89
O 0.2770 0.2713 0.1232  1 Te 1.89
O 0.6522 0.3006 0.9112  1 Te 1.89
O 0.7230 0.7287 0.8768  1 Te 1.89
Te 0.9549 0.2253 0.1542  3 O 1.89
Te 0.0451 0.7747 0.8458  3 O 1.89
O 0.2509 0.5833 0.6617  1 Te 1.89
Ba 0.9954 0.3701 0.7284  6 O 2.70-2.92

- Space-group type: P-1, No. 2
- Energy relative to the elements, uncorrected: -166 kJ per mole of atoms


(3)
An optimized crystal structure of La12PrAl4N3. Source: Alexandria, functional PBE-GGA.

Lattice parameters (Å, degrees): 8.9926 8.9926 8.9926 109.47 109.47 109.47
Last column: nearest neighbours and their distance in Å.
Fractional coordinates of all 20 atoms:
Al 0.5000 0.0000 0.0000  12 La 3.67-3.68
La 0.7500 0.5000 0.2500  2 N 2.60
La 0.0000 0.7246 0.7246  1 N 2.33
La 0.7246 0.7246 0.0000  1 N 2.33
N 0.5000 0.0000 0.5000  6 La 2.33-2.60
Pr 0.0000 0.0000 0.0000  6 La 2.86
La 0.7246 0.0000 0.7246  1 N 2.33
La 0.2500 0.7500 0.5000  2 N 2.60
La 0.7500 0.2500 0.5000  2 N 2.60
Al 0.0000 0.0000 0.5000  12 La 3.67-3.68
La 0.0000 0.2754 0.2754  1 N 2.33
La 0.5000 0.2500 0.7500  2 N 2.60
N 0.5000 0.5000 0.0000  6 La 2.33-2.60
Al 0.0000 0.5000 0.0000  12 La 3.67-3.68
N 0.0000 0.5000 0.5000  6 La 2.33-2.60
La 0.2500 0.5000 0.7500  2 N 2.60
Al 0.5000 0.5000 0.5000  12 La 3.67-3.68
La 0.5000 0.7500 0.2500  2 N 2.60
La 0.2754 0.2754 0.0000  1 N 2.33
La 0.2754 0.0000 0.2754  1 N 2.33

- Space-group type: Im-3m, No. 229
- Energy relative to the elements, uncorrected: -42 kJ per mole of atoms


(4)
An optimized crystal structure of CaLa12Pm6. Source: Alexandria, functional PBE-GGA.

Lattice parameters (Å, degrees): 9.4661 9.4661 9.4661 107.44 107.44 107.44
Last column: nearest neighbours and their distance in Å.
Fractional coordinates of all 19 atoms:
La 0.2105 0.5000 0.7895  4 La 3.37-3.65, 4 Pm 3.54-3.58
Pm 0.9232 0.3071 0.9232  1 Pm 3.15, 1 Ca 3.42
La 0.6058 0.6058 0.8566  2 La 3.37
La 0.5000 0.7895 0.2105  4 La 3.37-3.65, 4 Pm 3.54-3.58
La 0.7895 0.5000 0.2105  4 La 3.37-3.65, 4 Pm 3.54-3.58
Ca 0.0000 0.0000 0.0000  6 Pm 3.42
La 0.3942 0.3942 0.1434  2 La 3.37
La 0.8566 0.6058 0.6058  2 La 3.37
La 0.5000 0.2105 0.7895  4 La 3.37-3.65, 4 Pm 3.54-3.58
Pm 0.6929 0.0768 0.0768  1 Pm 3.15, 1 Ca 3.42
La 0.1434 0.3942 0.3942  2 La 3.37
Pm 0.0768 0.6929 0.0768  1 Pm 3.15, 1 Ca 3.42
La 0.7895 0.2105 0.5000  4 La 3.37-3.65, 4 Pm 3.54-3.58
Pm 0.3071 0.9232 0.9232  1 Pm 3.15, 1 Ca 3.42
La 0.3942 0.1434 0.3942  2 La 3.37
La 0.6058 0.8566 0.6058  2 La 3.37
Pm 0.9232 0.9232 0.3071  1 Pm 3.15, 1 Ca 3.42
La 0.2105 0.7895 0.5000  4 La 3.37-3.65, 4 Pm 3.54-3.58
Pm 0.0768 0.0768 0.6929  1 Pm 3.15, 1 Ca 3.42

- Space-group type: R-3m, No. 166
- Formation enthalpy at 0 K: 0.181 eV per atom


(5)
An optimized crystal structure of AlTl2GeCl. Source: Alexandria, functional PBE-GGA.

Lattice parameters (Å, degrees): 5.8224 4.8739 5.8224 90.00 90.00 90.00
Last column: nearest neighbours and their distance in Å.
Fractional coordinates of all 5 atoms:
Ge 0.5000 0.5000 0.5000  8 Tl 3.80, 4 Al 4.12
Al 0.0000 0.5000 0.0000  2 Cl 2.44
Tl 0.0000 0.0000 0.5000  2 Cl 2.91
Tl 0.5000 0.0000 0.0000  2 Cl 2.91
Cl 0.0000 0.0000 0.0000  2 Al 2.44

- Space-group type: P4/mmm, No. 123
- Energy relative to the elements, uncorrected: 40 kJ per mole of atoms


(6)
An optimized crystal structure of AcPr4NdEr2. Source: Alexandria, functional PBE-GGA.

Lattice parameters (Å, degrees): 5.2253 6.3937 9.7811 89.65 74.51 65.88
Last column: nearest neighbours and their distance in Å.
Fractional coordinates of all 8 atoms:
Pr 0.1228 0.1251 0.6293  1 Nd 3.65, 4 Er 3.67-3.77, 4 Pr 3.69-3.75, 3 Ac 3.70-3.71
Er 0.7441 0.7567 0.7550  8 Pr 3.63-3.77, 2 Nd 3.66, 2 Ac 3.74
Pr 0.3733 0.3757 0.8777  4 Er 3.63-3.70, 4 Pr 3.67-3.69, 3 Nd 3.68-3.69, 1 Ac 3.72
Nd 0.0000 0.0000 0.0000  8 Pr 3.65-3.69, 4 Er 3.66
Er 0.2559 0.2433 0.2450  8 Pr 3.63-3.77, 2 Nd 3.66, 2 Ac 3.74
Pr 0.6267 0.6243 0.1223  4 Er 3.63-3.70, 4 Pr 3.67-3.69, 3 Nd 3.68-3.69, 1 Ac 3.72
Ac 0.5000 0.5000 0.5000  8 Pr 3.70-3.72, 4 Er 3.74
Pr 0.8772 0.8749 0.3707  1 Nd 3.65, 4 Er 3.67-3.77, 4 Pr 3.69-3.75, 3 Ac 3.70-3.71

- Space-group type: C2/m, No. 12
- Formation enthalpy at 0 K: 0.031 eV per atom


(7)
An optimized crystal structure of K2NdNpSe4. Source: Alexandria, functional PBE-GGA.

Lattice parameters (Å, degrees): 4.3241 7.4754 8.0837 108.06 90.00 90.00
Last column: nearest neighbours and their distance in Å.
Fractional coordinates of all 8 atoms:
Np 0.5000 0.5000 0.0000  6 Se 2.94-2.95
Se 0.0000 0.7305 0.2066  2 Np 2.94, 1 Nd 2.99
K 0.5000 0.0000 0.5000  6 Se 3.36-3.38
K 0.0000 0.5000 0.5000  6 Se 3.33-3.34
Se 0.0000 0.2695 0.7934  2 Np 2.94, 1 Nd 2.99
Se 0.5000 0.7594 0.7892  1 Np 2.95, 2 Nd 2.99
Se 0.5000 0.2406 0.2108  1 Np 2.95, 2 Nd 2.99
Nd 0.0000 0.0000 0.0000  6 Se 2.99

- Space-group type: P2/m, No. 10
- Energy relative to the elements, uncorrected: -144 kJ per mole of atoms


(8)
An optimized crystal structure of NpAu3. Source: Alexandria, functional PBE-GGA.

Lattice parameters (Å, degrees): 2.9606 5.3117 6.0668 115.96 104.12 90.00
Last column: nearest neighbours and their distance in Å.
Fractional coordinates of all 4 atoms:
Au 0.2372 0.6536 0.4744  8 Au 2.90-3.05, 2 Np 3.13
Np 0.0000 0.9169 0.0000  2 Np 2.96, 8 Au 3.04-3.13
Au 0.5000 0.4170 0.0000  6 Au 2.90-2.96, 4 Np 3.04
Au 0.7628 0.1792 0.5256  8 Au 2.90-3.05, 2 Np 3.13

- Space-group type: Immm, No. 71
- Formation enthalpy at 0 K: -0.025 eV per atom


(9)
An optimized crystal structure of Ce3MgRh6. Source: Alexandria, functional PBE-GGA.

Lattice parameters (Å, degrees): 4.7788 8.1348 10.3131 114.54 90.00 90.00
Last column: nearest neighbours and their distance in Å.
Fractional coordinates of all 20 atoms:
Mg 0.7500 0.0571 0.4353  8 Rh 2.72-2.91
Rh 0.2500 0.4621 0.0873  6 Ce 2.78-3.09, 2 Rh 3.01-3.11
Ce 0.2500 0.5197 0.3758  8 Rh 2.73-2.96
Ce 0.2500 0.3377 0.7922  7 Rh 2.67-2.87
Mg 0.2500 0.9429 0.5647  8 Rh 2.72-2.91
Rh 0.2500 0.6794 0.6671  4 Ce 2.73-2.94, 1 Mg 2.76, 3 Rh 2.84-2.86
Rh 0.7500 0.9484 0.1435  4 Ce 2.67-2.89, 1 Mg 2.76, 5 Rh 2.84-2.98
Ce 0.7500 0.4803 0.6242  8 Rh 2.73-2.96
Rh 0.7500 0.5379 0.9127  6 Ce 2.78-3.09, 2 Rh 3.01-3.11
Ce 0.7500 0.1997 0.0214  10 Rh 2.80-3.09
Rh 0.2500 0.8737 0.2825  3 Mg 2.72-2.91, 3 Ce 2.86-2.94, 4 Rh 2.91-2.98
Rh 0.2500 0.2559 0.4963  3 Mg 2.81-2.91, 4 Ce 2.84-2.96, 4 Rh 2.97-3.09
Rh 0.7500 0.1263 0.7175  3 Mg 2.72-2.91, 3 Ce 2.86-2.94, 4 Rh 2.91-2.98
Ce 0.7500 0.6623 0.2078  7 Rh 2.67-2.87
Rh 0.7500 0.8413 0.8180  4 Ce 2.78-3.00, 8 Rh 2.86-3.10
Rh 0.2500 0.0516 0.8565  4 Ce 2.67-2.89, 1 Mg 2.76, 5 Rh 2.84-2.98
Rh 0.7500 0.3206 0.3329  4 Ce 2.73-2.94, 1 Mg 2.76, 3 Rh 2.84-2.86
Ce 0.2500 0.8003 0.9786  10 Rh 2.80-3.09
Rh 0.7500 0.7441 0.5037  3 Mg 2.81-2.91, 4 Ce 2.84-2.96, 4 Rh 2.97-3.09
Rh 0.2500 0.1587 0.1820  4 Ce 2.78-3.00, 8 Rh 2.86-3.10

- Space-group type: P2_1/m, No. 11
- Formation enthalpy at 0 K: -0.631 eV per atom


(10)
An optimized crystal structure of TbZnPd. Source: Alexandria, functional PBE-GGA.

Lattice parameters (Å, degrees): 3.4824 4.4844 4.4844 120.00 90.00 90.00
Last column: nearest neighbours and their distance in Å.
Fractional coordinates of all 3 atoms:
Tb 0.6666 0.6667 0.3333  6 Pd 3.12, 6 Zn 3.12, 2 Tb 3.48
Pd 0.1669 0.3333 0.6667  3 Zn 2.59
Zn 0.1665 0.0000 0.0000  3 Pd 2.59

- Space-group type: P-6m2, No. 187
- Formation enthalpy at 0 K: -0.675 eV per atom


(11)
An optimized crystal structure of SrSb2Pd. Source: Alexandria, functional PBE-GGA.

Lattice parameters (Å, degrees): 4.8506 9.5890 10.6542 116.74 103.16 90.00
Last column: nearest neighbours and their distance in Å.
Fractional coordinates of all 16 atoms:
Sb 0.2998 0.9577 0.5996  3 Pd 2.73-2.87, 1 Sb 3.03
Sr 0.3013 0.3013 0.6026  8 Sb 3.28-3.41, 6 Pd 3.53-3.64
Pd 0.8485 0.6003 0.6970  5 Sb 2.73-2.87
Pd 0.1515 0.3997 0.3030  5 Sb 2.73-2.87
Sb 0.9222 0.4222 0.8443  2 Pd 2.77, 1 Sb 2.86
Pd 0.1515 0.9032 0.3030  5 Sb 2.73-2.87
Sb 0.7002 0.0423 0.4004  3 Pd 2.73-2.87, 1 Sb 3.03
Sb 0.9222 0.9222 0.8444  2 Pd 2.74, 1 Sb 2.86
Sr 0.6987 0.6987 0.3974  8 Sb 3.28-3.41, 6 Pd 3.53-3.64
Sb 0.2998 0.6419 0.5996  3 Pd 2.73-2.87, 1 Sb 3.03
Pd 0.8485 0.0968 0.6970  5 Sb 2.73-2.87
Sb 0.7002 0.3581 0.4004  3 Pd 2.73-2.87, 1 Sb 3.03
Sb 0.0778 0.5778 0.1557  2 Pd 2.77, 1 Sb 2.86
Sr 0.5000 0.2519 0.0000  10 Sb 3.69-3.79, 4 Pd 3.69
Sr 0.5000 0.7481 0.0000  10 Sb 3.69-3.79, 4 Pd 3.69
Sb 0.0778 0.0778 0.1556  2 Pd 2.74, 1 Sb 2.86

- Space-group type: Immm, No. 71
- Energy relative to the elements, uncorrected: -69 kJ per mole of atoms


(12)
An optimized crystal structure of LaTe2Os. Source: Alexandria, functional PBE-GGA.

Lattice parameters (Å, degrees): 5.2210 5.2210 5.2210 60.00 60.00 60.00
Last column: nearest neighbours and their distance in Å.
Fractional coordinates of all 4 atoms:
La 0.5000 0.5000 0.5000  4 Os 3.20, 4 Te 3.20
Os 0.7500 0.7500 0.7500  4 Te 3.20, 4 La 3.20
Te 0.2500 0.2500 0.2500  4 La 3.20, 4 Te 3.20
Te 0.0000 0.0000 0.0000  4 Te 3.20, 4 Os 3.20

- Space-group type: F-43m, No. 216
- Distance to the lowest polymorph of the same formula: 747.0 meV/atom
- Energy relative to the elements, uncorrected: 30 kJ per mole of atoms


Number 1: magnetization 0.00 μB/f.u., DFT total energy -2.710 eV per atom. Number 2: magnetization 0.76 μB/f.u., DFT total energy -5.515 eV per atom. Number 3: magnetization 0.00 μB/f.u., DFT total energy -5.623 eV per atom. Number 4: magnetization 0.00 μB/f.u., DFT total energy -4.536 eV per atom. Number 5: magnetization 0.00 μB/f.u., DFT total energy -2.576 eV per atom. Number 6: magnetization 0.00 μB/f.u., DFT total energy -4.609 eV per atom. Number 7: magnetization 4.00 μB/f.u., DFT total energy -5.727 eV per atom. Number 8: magnetization 4.70 μB/f.u., DFT total energy -5.719 eV per atom. Number 9: magnetization 0.00 μB/f.u., DFT total energy -6.981 eV per atom. Number 10: magnetization 0.00 μB/f.u., DFT total energy -4.374 eV per atom. Number 11: magnetization 0.00 μB/f.u., DFT total energy -4.495 eV per atom. Number 12: magnetization 1.18 μB/f.u., DFT total energy -5.297 eV per atom.